# 1
VASP calculation (GGA-PBE) on TaFe2Ir after structural relaxation.

Calculated values
Magnetization (μB per formula unit): 0.40
E above lowest polymorph (eV per atom): 0.337
Calculated total energy (eV for the cell shown): -37.377

Cell: 2.6919 2.6919 7.4089 Å, 90.00 90.00 90.04°
Last column: nearest neighbours and their distance in Å.
Positions (direct):
Fe 0.0000 0.0000 0.0178  4 Ir 2.57, 4 Fe 2.69, 4 Ta 2.75
Ta 0.5000 0.5000 0.7500  4 Ta 2.69, 8 Fe 2.75
Fe 0.0000 0.0000 0.4822  4 Ir 2.57, 4 Fe 2.69, 4 Ta 2.75
Ir 0.5000 0.5000 0.2500  8 Fe 2.57, 4 Ir 2.69



# 2
VASP calculation (GGA-PBE) on RbNa2In after structural relaxation.

Calculated values
Magnetization (μB per formula unit): 0.00
Calculated total energy (eV for the cell shown): -25.421

Cell: 7.2288 12.1252 9.0371 Å, 125.43 90.00 90.00°
Last column: nearest neighbours and their distance in Å.
Positions (direct):
Na 0.6774 0.6180 0.0971  3 Na 3.22-3.47, 1 In 3.59
In 0.4288 0.5413 0.6797  1 In 2.97, 2 Na 3.21-3.30
Na 0.7049 0.7909 0.9299  2 In 3.21-3.30, 2 Na 3.22-3.43
Rb 0.9314 0.3811 0.5909  4 Na 3.77-4.16, 4 In 3.94-4.21, 1 Rb 4.18
Na 0.3226 0.3820 0.9029  3 Na 3.22-3.47, 1 In 3.59
In 0.5712 0.4587 0.3203  1 In 2.97, 2 Na 3.21-3.30
Na 0.2049 0.7091 0.0701  2 In 3.21-3.30, 2 Na 3.22-3.43
Rb 0.0686 0.6189 0.4091  4 Na 3.77-4.16, 4 In 3.94-4.21, 1 Rb 4.18
Na 0.1774 0.8820 0.9029  3 Na 3.22-3.47, 1 In 3.59
Na 0.7951 0.2909 0.9299  2 In 3.21-3.30, 2 Na 3.22-3.43
In 0.9288 0.9587 0.3203  1 In 2.97, 2 Na 3.21-3.30
Na 0.2951 0.2091 0.0701  2 In 3.21-3.30, 2 Na 3.22-3.43
Rb 0.4314 0.1189 0.4091  4 Na 3.77-4.16, 4 In 3.94-4.21, 1 Rb 4.18
In 0.0712 0.0413 0.6797  1 In 2.97, 2 Na 3.21-3.30
Na 0.8226 0.1180 0.0971  3 Na 3.22-3.47, 1 In 3.59
Rb 0.5686 0.8811 0.5909  4 Na 3.77-4.16, 4 In 3.94-4.21, 1 Rb 4.18



# 3
VASP calculation (GGA-PBE) on TcPb2 after structural relaxation.

Calculated values
Magnetization (μB per formula unit): 0.00
E above lowest polymorph (eV per atom): 0.203
Calculated total energy (eV for the cell shown): -16.055

Cell: 6.0411 6.0411 6.0411 Å, 146.02 146.02 48.82°
Last column: nearest neighbours and their distance in Å.
Positions (direct):
Tc 0.5000 0.5000 0.0000  8 Pb 2.95
Pb 0.1428 0.1428 0.0000  4 Tc 2.95, 1 Pb 3.14
Pb 0.8572 0.8572 0.0000  4 Tc 2.95, 1 Pb 3.14



# 4
VASP calculation (GGA-PBE) on Zr2ZnHg2 after structural relaxation.

Calculated values
Magnetization (μB per formula unit): 0.00
E above lowest polymorph (eV per atom): 0.000
Calculated total energy (eV for the cell shown): -38.305

Cell: 7.0075 7.0075 4.3684 Å, 90.00 90.00 90.00°
Last column: nearest neighbours and their distance in Å.
Positions (direct):
Zn 0.5000 0.5000 0.0000  4 Hg 2.69
Zr 0.1646 0.6646 0.5000  6 Hg 2.90-3.07
Hg 0.6435 0.1435 0.0000  2 Zn 2.69, 1 Hg 2.84, 2 Zr 2.90
Zr 0.3354 0.1646 0.5000  6 Hg 2.90-3.07
Zn 0.0000 0.0000 0.0000  4 Hg 2.69
Zr 0.6646 0.8354 0.5000  6 Hg 2.90-3.07
Hg 0.1435 0.3565 0.0000  2 Zn 2.69, 1 Hg 2.84, 2 Zr 2.90
Hg 0.8565 0.6435 0.0000  2 Zn 2.69, 1 Hg 2.84, 2 Zr 2.90
Hg 0.3565 0.8565 0.0000  2 Zn 2.69, 1 Hg 2.84, 2 Zr 2.90
Zr 0.8354 0.3354 0.5000  6 Hg 2.90-3.07



# 5
VASP calculation (GGA-PBE) on Sr2LaPr after structural relaxation.

Calculated values
Magnetization (μB per formula unit): 0.00
E above lowest polymorph (eV per atom): 0.000
Calculated total energy (eV for the cell shown): -12.720

Cell: 3.9712 3.9712 13.2163 Å, 81.36 81.36 60.00°
Last column: nearest neighbours and their distance in Å.
Positions (direct):
La 0.9964 0.9964 0.0107  3 Pr 3.63, 6 La 3.97
Pr 0.2577 0.2577 0.2269  3 La 3.63, 6 Pr 3.97, 3 Sr 3.98
Sr 0.8409 0.8409 0.4772  9 Sr 3.97-4.25, 3 Pr 3.98
Sr 0.4159 0.4159 0.7522  9 Sr 3.97-4.25, 3 La 4.07



# 6
VASP calculation (GGA-PBE) on Cs3YF6 after structural relaxation.

Calculated values
ΔE_f (raw) (eV/atom): -3.260
Magnetization (μB per formula unit): 0.09
Calculated total energy (eV for the cell shown): -52.852

Cell: 7.2139 7.2139 7.2139 Å, 119.60 119.60 90.70°
Last column: nearest neighbours and their distance in Å.
Positions (direct):
Cs 0.7500 0.2500 0.5000  4 F 2.92
F 0.0000 0.3005 0.3005  1 Y 2.18
Cs 0.5000 0.5000 0.0000  2 F 2.83
Cs 0.2500 0.7500 0.5000  4 F 2.92
Y 0.0000 0.0000 0.0000  6 F 2.18-2.24
F 0.0000 0.6995 0.6995  1 Y 2.18
F 0.2207 0.2207 0.0000  1 Y 2.24
F 0.3005 0.0000 0.3005  1 Y 2.18
F 0.6995 0.0000 0.6995  1 Y 2.18
F 0.7793 0.7793 0.0000  1 Y 2.24